Record 1
## CrFeMo2 (PBE-GGA)

Data for a relaxed CrFeMo2 crystal.

Cell lengths 2.634, 2.634, 8.429 Å; angles 90.00, 90.00, 108.57 degrees
Site moments in Bohr magnetons follow the coordinates.
Fractional coordinates of all 4 atoms:
Cr: 0.500 0.500 0.250  0.02
Fe: 0.500 0.500 0.750  2.27
Mo: 0.000 0.000 0.001  -0.03
Mo: 0.000 0.000 0.499  -0.03

Results
The energy above the most stable polymorph in this dataset comes out at 0 meV/atom. The calculation puts the calculated density at 9.0 g cm⁻³. As for the space-group type: Cmmm, No. 65. The formation enthalpy at 0 K comes out at 100 meV/atom.

***

Record 2
## CsU2Co2S6 (PBE-GGA)

Data for a relaxed CsU2Co2S6 crystal.

Cell lengths 7.391, 6.473, 7.779 Å; angles 121.19, 85.31, 66.49 degrees
Site moments in Bohr magnetons follow the coordinates.
Fractional coordinates of all 11 atoms:
Cs: 0.500 0.000 0.500  0.00
U: 0.829 0.330 0.831  -1.57
U: 0.171 0.670 0.169  -1.57
Co: 0.174 0.864 0.861  1.67
Co: 0.826 0.136 0.139  1.67
S: 0.432 0.755 0.983  0.11
S: 0.001 0.347 0.118  0.12
S: 0.159 0.794 0.554  0.10
S: 0.999 0.653 0.882  0.12
S: 0.841 0.206 0.446  0.10
S: 0.568 0.245 0.017  0.11

Results
The value obtained for the uncorrected formation energy is -90.3 kJ per mole of atoms. The calculation puts the calculated density at 5.6 g cm⁻³. As for the space-group type: P-1, No. 2.

***

Record 3
## Dy2ThTc (PBE-GGA)

Data for a relaxed Dy2ThTc crystal.

Cell lengths 3.384, 3.384, 11.151 Å; angles 81.27, 81.27, 60.00 degrees
Fractional coordinates of all 4 atoms:
Tc: 0.500 0.500 0.500
Th: 0.000 0.000 0.000
Dy: 0.104 0.104 0.687
Dy: 0.896 0.896 0.313

Results
The energy above the most stable polymorph in this dataset comes out at 450 meV/atom. The calculation puts the calculated density at 10.0 g cm⁻³. As for the space-group type: R-3m, No. 166. The formation enthalpy at 0 K comes out at 289 meV/atom.

***

Record 4
## VCoRe2Pt (PBE-GGA)

Data for a relaxed VCoRe2Pt crystal.

Cell lengths 4.327, 4.536, 4.327 Å; angles 90.00, 90.00, 90.00 degrees
Fractional coordinates of all 5 atoms:
Re: 0.000 0.000 0.500
Re: 0.500 0.000 0.000
Co: 0.000 0.000 0.000
Pt: 0.000 0.500 0.000
V: 0.500 0.500 0.500

Results
The calculation puts the calculated density at 13.2 g cm⁻³. As for the space-group type: P4/mmm, No. 123. The formation enthalpy at 0 K comes out at 1415 meV/atom.

***

Record 5
## Lu4Ag2O (PBE-GGA)

Data for a relaxed Lu4Ag2O crystal.

Cell lengths 4.552, 4.552, 8.071 Å; angles 106.38, 106.38, 90.00 degrees
Fractional coordinates of all 7 atoms:
Lu: 0.820 0.820 0.640
Lu: 0.180 0.180 0.360
Lu: 0.000 0.500 0.000
Lu: 0.500 0.000 0.000
O: 0.000 0.000 0.000
Ag: 0.630 0.630 0.261
Ag: 0.370 0.370 0.739

Results
The value obtained for the uncorrected formation energy is -89.8 kJ per mole of atoms. The calculation puts the calculated density at 10.1 g cm⁻³. As for the space-group type: I4/mmm, No. 139.

***

Record 6
## Ca2AcCuO5 (PBE-GGA)

Data for a relaxed Ca2AcCuO5 crystal.

Cell lengths 6.517, 6.517, 7.338 Å; angles 116.37, 116.37, 90.00 degrees
Site moments in Bohr magnetons follow the coordinates.
Fractional coordinates of all 18 atoms:
Ca: 0.169 0.331 0.000  0.01
Ca: 0.669 0.169 0.000  0.01
Ca: 0.331 0.831 0.000  0.01
Ca: 0.831 0.669 0.000  0.01
Ac: 0.250 0.250 0.500  -0.01
Ac: 0.750 0.750 0.500  -0.01
Cu: 0.250 0.750 0.500  0.74
Cu: 0.750 0.250 0.500  0.74
O: 0.989 0.489 0.278  0.23
O: 0.711 0.211 0.722  0.23
O: 0.011 0.511 0.722  0.23
O: 0.211 0.011 0.722  0.23
O: 0.511 0.711 0.722  0.23
O: 0.789 0.989 0.278  0.23
O: 0.489 0.289 0.278  0.23
O: 0.289 0.789 0.278  0.23
O: 0.500 0.500 0.000  0.20
O: 0.000 0.000 0.000  0.20

Results
The value obtained for the uncorrected formation energy is -221.3 kJ per mole of atoms. The calculation puts the calculated density at 6.2 g cm⁻³. As for the space-group type: I4/mcm, No. 140.

***

Number 1: D(E_F) 3.11 states/eV per cell. Number 2: D(E_F) 15.44 states/eV per cell. Number 3: D(E_F) 5.74 states/eV per cell. Number 4: D(E_F) 8.18 states/eV per cell. Number 5: D(E_F) 8.66 states/eV per cell. Number 6: D(E_F) 3.83 states/eV per cell.